The following is a DFT calculation (GGA-PBEsol) of a geometry-optimized Ta2FeAg structure.

Lattice parameters (Å, degrees): 2.801 2.801 7.841 90.00 90.00 90.11
Element x y z (fractional)
Ta  0.000  0.000  0.213
Ta  0.000  0.000  0.787
Fe  0.500  0.500  0.000
Ag  0.500  0.500  0.500

Summary:
space group: No. 65
E_tot: -9.247 eV/atom
ΔE_f: 0.10 eV/atom
energy above the lowest structure with this stoichiometry: 0 kJ/mol of formula units